K2AsS4: relaxed, PBE-GGA.

Structure (POSCAR):
```
K2AsS4
1.0
-5.9483 0.7452 2.1540
1.0114 -1.6863 6.0590
3.6628 6.0728 -2.7467
S K As
4 2 1
direct
0.9527 0.7321 0.6848
0.2679 0.0473 0.3152
0.9305 0.3737 0.0000
0.6263 0.0695 0.0000
0.3728 0.6272 0.5000
0.8728 0.1272 0.5000
0.9769 0.0231 0.0000
```

Computed properties:
- E above lowest polymorph: 0 meV per atom
- Calculated density: 1.98 Mg/m³
- Energy: -3.86 eV per atom
- Formation energy without anion corrections: -526.2 meV per atom